Entry 1:
A plane-wave DFT calculation with PBE was carried out for an optimized crystal structure of Tc2Ru2Rh15.

Total magnetization in μB/cell: 2.753
Energy relative to the elements in eV per atom: 0.407
Uncorrected energy in eV per atom: -7.464
DOS(E_F) in states/eV/atom: 1.30

Cell: 8.6944 8.6944 13.5086 Å, 90.00 90.00 120.00°
Last column: nearest neighbours and their distance in Å.
Space group R-3m (No. 166, hexagonal axes)
Inequivalent atoms, fractional coordinates:
Tc 0.0000 0.0000 0.2217 [6 per cell]  1 Ru 2.59
Ru 0.0000 0.0000 0.4135 [6 per cell]  1 Ru 2.34, 1 Tc 2.59
Rh 0.0000 0.3399 0.5000 [18 per cell]  9 Rh 2.66-2.96, 2 Tc 2.96
Rh 0.0000 0.5000 0.0000 [9 per cell]  8 Rh 2.52-2.69, 2 Ru 2.73
Rh 0.0016 0.5008 0.6678 [18 per cell]  8 Rh 2.50-2.68, 1 Ru 2.74



Entry 2:
A plane-wave DFT calculation with PBE was carried out for an optimized crystal structure of CaTc2Rh.

Total magnetization in μB/cell: 0.000
Energy relative to the elements in eV per atom: 0.541
Uncorrected energy in eV per atom: -6.981
DOS(E_F) in states/eV/atom: 1.06

Cell: 2.8315 2.8315 28.7386 Å, 90.00 90.00 120.00°
Last column: nearest neighbours and their distance in Å.
Space group R-3m (No. 166, hexagonal axes)
Inequivalent atoms, fractional coordinates:
Ca 0.0000 0.0000 0.0000 [3 per cell]  6 Ca 2.83, 6 Tc 3.10
Tc 0.0000 0.0000 0.2415 [6 per cell]  3 Rh 2.70, 6 Tc 2.83
Rh 0.0000 0.0000 0.5000 [3 per cell]  6 Tc 2.70, 6 Rh 2.83



Entry 3:
A plane-wave DFT calculation with PBE was carried out for an optimized crystal structure of Nd8Sn2Pb.

Total magnetization in μB/cell: 0.001
Energy relative to the elements in eV per atom: -0.356
Uncorrected energy in eV per atom: -4.889
DOS(E_F) in states/eV/atom: 1.18

Cell: 20.2197 5.2078 7.1489 Å, 90.00 103.31 90.00°
Last column: nearest neighbours and their distance in Å.
Space group C2/m (No. 12)
Inequivalent atoms, fractional coordinates:
Nd 0.0225 0.0000 0.2610 [4 per cell]  2 Pb 3.20, 1 Sn 3.23
Nd 0.0940 0.5000 0.9787 [4 per cell]  2 Sn 3.50, 1 Pb 3.51, 9 Nd 3.66-3.89
Nd 0.1608 0.5000 0.5021 [4 per cell]  3 Sn 3.22-3.25, 1 Pb 3.25, 2 Nd 3.50
Nd 0.2149 0.0000 0.8295 [4 per cell]  3 Sn 3.27-3.48, 4 Nd 3.50-3.63
Sn 0.1819 0.0000 0.2570 [4 per cell]  9 Nd 3.22-3.50
Pb 0.0000 0.5000 0.5000 [2 per cell]  8 Nd 3.20-3.51



Entry 4:
A plane-wave DFT calculation with PBE was carried out for an optimized crystal structure of EuDySnPb.

Total magnetization in μB/cell: 28.039
Energy relative to the elements in eV per atom: -0.499
Uncorrected energy in eV per atom: -6.146
DOS(E_F) in states/eV/atom: 0.69

Cell: 7.7680 7.7680 7.7680 Å, 90.00 90.00 90.00°
Last column: nearest neighbours and their distance in Å.
Space group F-43m (No. 216)
Inequivalent atoms, fractional coordinates:
Eu 0.0000 0.0000 0.0000 [4 per cell]  4 Pb 3.36, 4 Sn 3.36
Dy 0.0000 0.0000 0.5000 [4 per cell]  4 Pb 3.36, 4 Sn 3.36
Sn 0.2500 0.2500 0.2500 [4 per cell]  4 Dy 3.36, 4 Eu 3.36
Pb 0.2500 0.2500 0.7500 [4 per cell]  4 Dy 3.36, 4 Eu 3.36



Entry 5:
A plane-wave DFT calculation with PBE was carried out for an optimized crystal structure of Ca2AgRu.

Total magnetization in μB/cell: 0.003
Energy relative to the elements in eV per atom: 0.377
Uncorrected energy in eV per atom: -3.655
DOS(E_F) in states/eV/atom: 0.96

Cell: 7.8075 7.8075 6.1406 Å, 90.00 90.00 90.00°
Last column: nearest neighbours and their distance in Å.
Space group I-42d (No. 122)
Inequivalent atoms, fractional coordinates:
Ca 0.2286 0.2500 0.1250 [8 per cell]  2 Ru 2.75, 2 Ag 2.98
Ag 0.0000 0.0000 0.5000 [4 per cell]  4 Ca 2.98, 2 Ru 3.07
Ru 0.0000 0.0000 0.0000 [4 per cell]  4 Ca 2.75, 2 Ag 3.07



Entry 6:
A plane-wave DFT calculation with PBE was carried out for an optimized crystal structure of K3Tm2MnTe6.

Total magnetization in μB/cell: 8.005
Uncorrected energy in eV per atom: -4.397
DOS(E_F) in states/eV/atom: 0.53
Uncorrected formation energy in meV per atom: -1042.4

Cell: 7.5738 13.1199 8.6015 Å, 90.00 107.20 90.00°
Last column: nearest neighbours and their distance in Å.
Space group C2/m (No. 12)
Inequivalent atoms, fractional coordinates:
K 0.0000 0.0000 0.0000 [2 per cell]  6 Te 3.49-3.63
K 0.0000 0.3291 0.0000 [4 per cell]  6 Te 3.50-3.60
Tm 0.0000 0.1659 0.5000 [4 per cell]  6 Te 3.06-3.07
Mn 0.0000 0.5000 0.5000 [2 per cell]  6 Te 2.89-2.91
Te 0.2239 0.3418 0.6982 [8 per cell]  1 Mn 2.89, 2 Tm 3.07
Te 0.2493 0.5000 0.2998 [4 per cell]  1 Mn 2.91, 2 Tm 3.06